VASP calculation (PBE) on crystalline Cd2SiW at its relaxed geometry.

a b c (Å): 2.9940 2.9940 28.2819
angles (deg): 90.00 90.00 120.00
Space group R3m (No. 160, hexagonal axes)
Asymmetric unit:
Cd 0.0000 0.0000 0.0000 x3
Cd 0.0000 0.0000 0.2398 x3
Si 0.0000 0.0000 0.7520 x3
W 0.0000 0.0000 0.4866 x3

calculated density: 9.9 Mg/m³
magnetic moment: 0.0 μB/f.u.
formation energy (no corrections): 382 meV/atom

***

VASP calculation (PBE) on crystalline Cd2SiW at its relaxed geometry.

a b c (Å): 14.9533 2.7666 4.2194
angles (deg): 90.00 106.32 90.00
Space group C2/m (No. 12)
Asymmetric unit:
Cd 0.1822 0.0000 0.1821 x4
Si 0.0000 0.0000 0.5000 x2
W 0.0000 0.5000 0.0000 x2

calculated density: 8.7 Mg/m³
magnetic moment: 0.4 μB/f.u.
formation energy (no corrections): 262 meV/atom